Below is a geometry-optimized Ti2BeCl structure, with properties calculated at the PBE-GGA level.

Cell lengths 5.2029, 5.2029, 11.2988 Å; angles 90.00, 90.00, 90.00 degrees
Closest atoms and distances in Å follow each position.
Space group I-42d (No. 122)
Symmetry-distinct sites (fractional):
Ti 0.2151 0.2500 0.1250 [8 per cell]  2 Be 2.22, 2 Cl 2.43
Be 0.0000 0.0000 0.0000 [4 per cell]  4 Ti 2.22
Cl 0.0000 0.0000 0.5000 [4 per cell]  4 Ti 2.43

Summary:
* total magnetization: 0.0000 μB/atom
* mass density: 3.04 Mg/m³
* crystal system: tetragonal
* relative energy among the computed polymorphs: 16.83 kJ per mole of atoms

Below is a geometry-optimized BeTlCl structure, with properties calculated at the PBE-GGA level.

Cell lengths 3.2887, 3.2887, 7.7497 Å; angles 90.00, 90.00, 120.00 degrees
Closest atoms and distances in Å follow each position.
Space group P3m1 (No. 156)
Symmetry-distinct sites (fractional):
Be 0.0000 0.0000 0.0000 [1 per cell]  3 Cl 2.21
Tl 0.3333 0.6667 0.7042 [1 per cell]  3 Be 2.98, 6 Tl 3.29
Cl 0.6667 0.3333 0.1465 [1 per cell]  3 Be 2.21

Summary:
* total magnetization: 0.0000 μB/atom
* mass density: 5.69 Mg/m³
* crystal system: trigonal
* relative energy among the computed polymorphs: 0.00 kJ per mole of atoms

Below is a geometry-optimized Ca2YAl structure, with properties calculated at the PBE-GGA level.

Cell lengths 3.6169, 3.6169, 33.9250 Å; angles 90.00, 90.00, 120.00 degrees
Closest atoms and distances in Å follow each position.
Space group R-3m (No. 166, hexagonal axes)
Symmetry-distinct sites (fractional):
Ca 0.0000 0.0000 0.2391 [6 per cell]  3 Al 3.23
Y 0.0000 0.0000 0.0000 [3 per cell]  6 Y 3.62, 6 Ca 3.82
Al 0.0000 0.0000 0.5000 [3 per cell]  6 Ca 3.23

Summary:
* total magnetization: 0.1177 μB/atom
* mass density: 2.54 Mg/m³
* ΔH_f (0 K): 0.084 eV/atom
* crystal system: trigonal

Below is a geometry-optimized MnBePd5 structure, with properties calculated at the PBE-GGA level.

Cell lengths 4.3145, 5.5173, 8.7057 Å; angles 97.76, 96.72, 92.21 degrees
Closest atoms and distances in Å follow each position.
Space group P-1 (No. 2)
Symmetry-distinct sites (fractional):
Mn 0.0704 0.4338 0.2452 [2 per cell]  9 Pd 2.55-2.73
Be 0.5000 0.0000 0.5000 [1 per cell]  4 Pd 2.13-2.21
Be 0.5000 0.5000 0.0000 [1 per cell]  8 Pd 2.35-2.63
Pd 0.0142 0.7622 0.0475 [2 per cell]  2 Be 2.56-2.63, 2 Mn 2.61-2.66, 5 Pd 2.73-2.86
Pd 0.0819 0.0099 0.3442 [2 per cell]  1 Be 2.13
Pd 0.2835 0.6460 0.5376 [2 per cell]  1 Be 2.21
Pd 0.4289 0.2994 0.7412 [2 per cell]  2 Be 2.35-2.55, 1 Mn 2.55
Pd 0.4696 0.8460 0.8557 [2 per cell]  1 Be 2.42

Summary:
* total magnetization: 0.6709 μB/atom
* mass density: 9.72 Mg/m³
* ΔH_f (0 K): -0.223 eV/atom
* crystal system: triclinic
* relative energy among the computed polymorphs: 1.75 kJ per mole of atoms

Below is a geometry-optimized Y3TmCd2 structure, with properties calculated at the PBE-GGA level.

Cell lengths 5.2285, 9.4102, 6.8598 Å; angles 90.00, 90.00, 90.00 degrees
Closest atoms and distances in Å follow each position.
Space group Pmc2_1 (No. 26)
Symmetry-distinct sites (fractional):
Y 0.0000 0.0441 0.0000 [2 per cell]  3 Cd 3.20-3.25, 5 Y 3.52-3.57
Y 0.0000 0.3256 0.3376 [2 per cell]  4 Cd 3.07-3.16
Y 0.5000 0.1799 0.6987 [2 per cell]  4 Cd 3.12-3.14, 1 Tm 3.48
Tm 0.5000 0.4552 0.0377 [2 per cell]  3 Cd 3.20-3.25, 3 Y 3.48-3.54, 2 Tm 3.53
Cd 0.0000 0.3500 0.7956 [2 per cell]  5 Y 3.07-3.20, 2 Tm 3.25
Cd 0.5000 0.1500 0.2423 [2 per cell]  6 Y 3.12-3.25, 1 Tm 3.20

Summary:
* total magnetization: 0.0000 μB/atom
* mass density: 6.50 Mg/m³
* ΔH_f (0 K): -0.235 eV/atom
* crystal system: orthorhombic
* relative energy among the computed polymorphs: 0.00 kJ per mole of atoms

Below is a geometry-optimized Pm2VMoN5 structure, with properties calculated at the PBE-GGA level.

Cell lengths 3.3490, 13.7711, 10.0203 Å; angles 90.00, 90.00, 90.00 degrees
Closest atoms and distances in Å follow each position.
Space group Cmc2_1 (No. 36)
Symmetry-distinct sites (fractional):
Pm 0.0000 0.1141 0.0000 [4 per cell]  8 N 2.47-2.70
Pm 0.0000 0.1379 0.6142 [4 per cell]  7 N 2.48-2.67
V 0.0000 0.4492 0.7633 [4 per cell]  4 N 1.77-1.91
Mo 0.0000 0.2162 0.3311 [4 per cell]  1 N 1.87
N 0.0000 0.0466 0.3497 [4 per cell]  2 V 1.89
N 0.0000 0.2914 0.9601 [4 per cell]  2 Mo 2.12
N 0.0000 0.3208 0.6918 [4 per cell]  1 V 1.91
N 0.0000 0.3519 0.3210 [4 per cell]  1 Mo 1.87
N 0.0000 0.4959 0.1038 [4 per cell]  1 V 1.77

Summary:
* total magnetization: 0.0214 μB/atom
* VASP energy: -0.3273 hartree per atom
* mass density: 7.29 Mg/m³
* crystal system: orthorhombic